# 1
Compound: Ho8InHg2
Source: Alexandria via LeMat-Bulk
Functional: PBE
Structure: relaxed

Calculated values
- ΔE_f: -0.145 eV per atom
- Calculated total energy: -0.1389 Ha/atom
- Distance to the lowest polymorph of the same formula: 0.037 eV/atom

abc: 5.430 8.466 8.466
angles: 117.48 100.52 100.52
Positions (direct):
Ho  0.302  0.604  0.604
In  0.500  0.000  0.000
Ho  0.893  0.907  0.675
Ho  0.107  0.325  0.093
Ho  0.500  0.777  0.223
Hg  0.000  0.305  0.695
Ho  0.698  0.396  0.396
Ho  0.500  0.223  0.777
Ho  0.893  0.675  0.907
Ho  0.107  0.093  0.325
Hg  0.000  0.695  0.305



# 2
Compound: HoIn4Hg6
Source: Alexandria via LeMat-Bulk
Functional: PBE
Structure: relaxed

Calculated values
- ΔE_f: -0.043 eV per atom
- Calculated total energy: -0.0595 Ha/atom

abc: 3.398 9.262 10.429
angles: 116.36 90.00 90.00
Positions (direct):
In  0.000  0.659  0.318
Hg  0.000  0.057  0.545
Ho  0.000  0.026  0.052
In  0.500  0.695  0.848
Hg  0.500  0.823  0.178
In  0.500  0.152  0.848
Hg  0.000  0.418  0.835
Hg  0.000  0.488  0.545
Hg  0.500  0.806  0.611
In  0.500  0.188  0.376
Hg  0.500  0.355  0.178



# 3
Compound: Ho2InHg4
Source: Alexandria via LeMat-Bulk
Functional: PBE
Structure: relaxed

Calculated values
- ΔE_f: -0.284 eV per atom
- Calculated total energy: -0.0792 Ha/atom
- Distance to the lowest polymorph of the same formula: 0.000 eV/atom

abc: 5.090 5.090 8.600
angles: 72.79 72.79 60.00
Positions (direct):
Hg  0.868  0.868  0.396
In  0.000  0.000  0.000
Ho  0.743  0.743  0.771
Hg  0.132  0.132  0.604
Hg  0.390  0.390  0.831
Ho  0.257  0.257  0.229
Hg  0.610  0.610  0.169



# 4
Compound: Ho4In3Hg
Source: Alexandria via LeMat-Bulk
Functional: PBE
Structure: relaxed

Calculated values
- ΔE_f: -0.459 eV per atom
- Calculated total energy: -0.1401 Ha/atom
- Distance to the lowest polymorph of the same formula: 0.000 eV/atom

abc: 3.739 3.739 14.950
angles: 90.00 90.00 90.00
Positions (direct):
Ho  0.000  0.000  0.121
Ho  0.000  0.000  0.374
In  0.500  0.500  0.248
In  0.500  0.500  0.752
Ho  0.000  0.000  0.879
Ho  0.000  0.000  0.626
Hg  0.500  0.500  0.000
In  0.500  0.500  0.500



# 5
Compound: HoInHg3
Source: Alexandria via LeMat-Bulk
Functional: PBE
Structure: relaxed

Calculated values
- ΔE_f: -0.155 eV per atom
- Calculated total energy: -0.0661 Ha/atom
- Distance to the lowest polymorph of the same formula: 0.053 eV/atom

abc: 5.559 6.405 8.426
angles: 112.34 94.88 90.00
Positions (direct):
Ho  0.812  0.189  0.378
In  0.236  0.359  0.718
Hg  0.297  0.399  0.305
Ho  0.188  0.811  0.622
Hg  0.000  0.000  0.000
Hg  0.703  0.094  0.695
Hg  0.703  0.601  0.695
In  0.764  0.641  0.282
Hg  0.500  0.000  0.000
Hg  0.297  0.906  0.305



# 6
Compound: HoInHg3
Source: Alexandria via LeMat-Bulk
Functional: PBE
Structure: relaxed

Calculated values
- ΔE_f: -0.208 eV per atom
- Calculated total energy: -0.0681 Ha/atom
- Distance to the lowest polymorph of the same formula: 0.000 eV/atom

abc: 6.559 4.488 9.470
angles: 103.71 67.26 90.00
Positions (direct):
In  0.442  0.196  0.391
Ho  0.152  0.393  0.787
In  0.558  0.804  0.609
Ho  0.848  0.607  0.213
Hg  0.770  0.994  0.988
Hg  0.636  0.406  0.812
Hg  0.067  0.794  0.587
Hg  0.230  0.006  0.012
Hg  0.933  0.206  0.413
Hg  0.364  0.594  0.188



# 7
Compound: Ho2In3Hg
Source: Alexandria via LeMat-Bulk
Functional: PBE
Structure: relaxed

Calculated values
- ΔE_f: -0.384 eV per atom
- Calculated total energy: -0.1224 Ha/atom

abc: 6.079 6.079 9.908
angles: 114.06 114.06 70.79
Positions (direct):
In  0.832  0.832  0.664
Ho  0.250  0.750  0.500
Ho  0.750  0.250  0.500
Ho  0.252  0.748  0.000
In  0.168  0.168  0.336
In  0.167  0.167  0.832
Hg  0.334  0.334  0.667
In  0.335  0.335  0.168
In  0.665  0.665  0.832
Ho  0.748  0.252  0.000
In  0.833  0.833  0.168
Hg  0.666  0.666  0.333



# 8
Compound: Ho5In3Hg
Source: Alexandria via LeMat-Bulk
Functional: PBE
Structure: relaxed

Calculated values
- ΔE_f: -0.435 eV per atom
- Calculated total energy: -0.1442 Ha/atom

abc: 6.684 9.226 9.226
angles: 120.00 90.00 90.00
Positions (direct):
Ho  0.500  0.333  0.667
Ho  0.750  0.000  0.285
In  0.750  0.377  0.377
Ho  0.000  0.333  0.667
Ho  0.000  0.667  0.333
Ho  0.250  0.715  0.000
Hg  0.000  0.000  0.000
Hg  0.500  0.000  0.000
In  0.750  0.000  0.623
In  0.750  0.623  0.000
In  0.250  0.377  0.000
Ho  0.750  0.285  0.000
In  0.250  0.623  0.623
Ho  0.250  0.285  0.285
Ho  0.750  0.715  0.715
Ho  0.250  0.000  0.715
In  0.250  0.000  0.377
Ho  0.500  0.667  0.333



# 9
Compound: HoIn3Hg12
Source: Alexandria via LeMat-Bulk
Functional: PBE
Structure: relaxed

Calculated values
- ΔE_f: -0.070 eV per atom
- Calculated total energy: -0.0403 Ha/atom

abc: 4.532 4.532 20.348
angles: 90.00 90.00 90.00
Positions (direct):
In  0.000  0.000  0.242
Hg  0.500  0.500  0.500
Hg  0.500  0.500  0.758
Hg  0.000  0.500  0.369
Hg  0.500  0.000  0.631
Ho  0.000  0.000  0.000
Hg  0.500  0.000  0.883
Hg  0.000  0.500  0.631
In  0.000  0.000  0.500
Hg  0.500  0.000  0.369
Hg  0.500  0.500  0.000
Hg  0.500  0.500  0.242
Hg  0.500  0.000  0.117
In  0.000  0.000  0.758
Hg  0.000  0.500  0.117
Hg  0.000  0.500  0.883



# 10
Compound: HoIn2Hg8
Source: Alexandria via LeMat-Bulk
Functional: PBE
Structure: relaxed

Calculated values
- ΔE_f: -0.103 eV per atom
- Calculated total energy: -0.0455 Ha/atom

abc: 4.759 7.366 8.673
angles: 107.53 105.92 90.00
Positions (direct):
Hg  0.408  0.549  0.816
Hg  0.963  0.267  0.925
Hg  0.142  0.178  0.284
Hg  0.592  0.451  0.184
In  0.225  0.646  0.451
Hg  0.326  0.097  0.652
In  0.775  0.354  0.549
Hg  0.858  0.822  0.716
Hg  0.674  0.903  0.348
Hg  0.037  0.733  0.075
Ho  0.500  0.000  0.000



# 11
Compound: Ho5InHg2
Source: Alexandria via LeMat-Bulk
Functional: PBE
Structure: relaxed

Calculated values
- ΔE_f: -0.364 eV per atom
- Calculated total energy: -0.1339 Ha/atom

abc: 8.239 8.239 8.740
angles: 118.12 118.12 90.00
Positions (direct):
Ho  0.496  0.304  0.300
Ho  0.196  0.004  0.700
Hg  0.360  0.860  0.000
Ho  0.000  0.000  0.000
Ho  0.304  0.804  0.300
Ho  0.004  0.504  0.700
Hg  0.860  0.640  0.000
In  0.250  0.250  0.500
In  0.750  0.750  0.500
Ho  0.996  0.496  0.300
Ho  0.504  0.696  0.700
Hg  0.640  0.140  0.000
Ho  0.500  0.500  0.000
Hg  0.140  0.360  0.000
Ho  0.804  0.996  0.300
Ho  0.696  0.196  0.700



# 12
Compound: Ho6InHg
Source: Alexandria via LeMat-Bulk
Functional: PBE
Structure: relaxed

Calculated values
- ΔE_f: -0.208 eV per atom
- Calculated total energy: -0.1478 Ha/atom

abc: 4.806 4.806 9.600
angles: 90.00 90.00 90.00
Each line ends with the local moment (μB).
Positions (direct):
Hg  0.000  0.000  0.500  0.01
Ho  0.500  0.000  0.748  0.21
In  0.000  0.000  0.000  -0.01
Ho  0.500  0.500  0.500  0.21
Ho  0.500  0.000  0.252  0.21
Ho  0.000  0.500  0.252  0.21
Ho  0.500  0.500  0.000  0.20
Ho  0.000  0.500  0.748  0.21



# 13
Compound: Ho3InHg3
Source: Alexandria via LeMat-Bulk
Functional: PBE
Structure: relaxed

Calculated values
- ΔE_f: -0.340 eV per atom
- Calculated total energy: -0.1037 Ha/atom
- Distance to the lowest polymorph of the same formula: 0.009 eV/atom

abc: 7.139 7.139 7.335
angles: 90.06 90.06 90.43
Positions (direct):
Hg  0.245  0.755  0.000
Ho  0.544  0.960  0.748
Hg  0.245  0.755  0.500
Ho  0.945  0.945  0.246
In  0.660  0.660  0.047
In  0.340  0.340  0.953
Hg  0.755  0.245  0.500
Ho  0.055  0.055  0.754
Hg  0.324  0.324  0.545
Ho  0.456  0.040  0.252
Ho  0.040  0.456  0.252
Hg  0.676  0.676  0.455
Hg  0.755  0.245  0.000
Ho  0.960  0.544  0.748



# 14
Compound: Ho2InHg8
Source: Alexandria via LeMat-Bulk
Functional: PBE
Structure: relaxed

Calculated values
- ΔE_f: -0.221 eV per atom
- Calculated total energy: -0.0559 Ha/atom

abc: 4.652 4.652 12.756
angles: 90.00 90.00 90.00
Positions (direct):
Hg  0.500  0.000  0.147
Ho  0.000  0.000  0.682
Hg  0.000  0.500  0.853
In  0.000  0.000  0.000
Hg  0.500  0.500  0.323
Hg  0.500  0.000  0.500
Hg  0.500  0.000  0.853
Hg  0.000  0.500  0.500
Ho  0.000  0.000  0.318
Hg  0.500  0.500  0.677
Hg  0.000  0.500  0.147



# 15
Compound: Ho2InHg9
Source: Alexandria via LeMat-Bulk
Functional: PBE
Structure: relaxed

Calculated values
- ΔE_f: -0.199 eV per atom
- Calculated total energy: -0.0520 Ha/atom

abc: 4.709 4.709 13.295
angles: 90.00 90.00 90.00
Positions (direct):
In  0.000  0.000  0.000
Ho  0.000  0.000  0.671
Hg  0.500  0.000  0.500
Hg  0.500  0.000  0.168
Hg  0.000  0.500  0.500
Ho  0.000  0.000  0.329
Hg  0.500  0.500  0.000
Hg  0.000  0.500  0.832
Hg  0.500  0.000  0.832
Hg  0.500  0.500  0.338
Hg  0.000  0.500  0.168
Hg  0.500  0.500  0.662



# 16
Compound: HoIn2Hg2
Source: Alexandria via LeMat-Bulk
Functional: PBE
Structure: relaxed

Calculated values
- ΔE_f: -0.031 eV per atom
- Calculated total energy: -0.0795 Ha/atom

abc: 5.097 5.097 12.445
angles: 90.00 90.00 120.00
Positions (direct):
In  0.667  0.333  0.750
Hg  0.333  0.667  0.618
In  0.333  0.667  0.250
Hg  0.333  0.667  0.882
Ho  0.000  0.000  0.750
In  0.000  0.000  0.500
Hg  0.667  0.333  0.382
In  0.000  0.000  0.000
Ho  0.000  0.000  0.250
Hg  0.667  0.333  0.118



# 17
Compound: Ho3In3Hg
Source: Alexandria via LeMat-Bulk
Functional: PBE
Structure: relaxed

Calculated values
- ΔE_f: -0.403 eV per atom
- Calculated total energy: -0.1316 Ha/atom

abc: 4.654 6.116 14.444
angles: 82.81 80.73 67.64
Positions (direct):
Ho  0.603  0.719  0.076
In  0.135  0.268  0.461
In  0.881  0.164  0.074
Ho  0.273  0.234  0.221
Ho  0.526  0.323  0.624
In  0.994  0.786  0.225
In  0.006  0.214  0.775
In  0.865  0.732  0.539
Hg  0.240  0.892  0.627
Hg  0.760  0.108  0.373
Ho  0.727  0.766  0.779
Ho  0.397  0.281  0.924
Ho  0.474  0.677  0.376
In  0.119  0.836  0.926



# 18
Compound: HoIn6Hg12
Source: Alexandria via LeMat-Bulk
Functional: PBE
Structure: relaxed

Calculated values
- ΔE_f: -0.035 eV per atom
- Calculated total energy: -0.0489 Ha/atom

abc: 7.980 7.980 7.980
angles: 92.38 92.38 92.38
Positions (direct):
Hg  0.849  0.951  0.627
Hg  0.554  0.484  0.191
Hg  0.484  0.191  0.554
Hg  0.951  0.627  0.849
Hg  0.151  0.049  0.373
Ho  0.000  0.000  0.000
In  0.257  0.717  0.142
Hg  0.809  0.446  0.516
In  0.283  0.858  0.743
Hg  0.516  0.809  0.446
In  0.858  0.743  0.283
Hg  0.446  0.516  0.809
Hg  0.627  0.849  0.951
Hg  0.191  0.554  0.484
Hg  0.373  0.151  0.049
In  0.743  0.283  0.858
Hg  0.049  0.373  0.151
In  0.142  0.257  0.717
In  0.717  0.142  0.257



# 19
Compound: Ho3InHg
Source: Alexandria via LeMat-Bulk
Functional: PBE
Structure: relaxed

Calculated values
- ΔE_f: -0.077 eV per atom
- Calculated total energy: -0.1261 Ha/atom
- Distance to the lowest polymorph of the same formula: 0.278 eV/atom

abc: 5.438 8.013 8.013
angles: 120.00 90.00 90.00
Positions (direct):
Ho  0.750  0.612  0.806
Hg  0.500  0.000  0.000
Ho  0.250  0.388  0.194
In  0.250  0.334  0.666
Ho  0.750  0.194  0.388
Ho  0.750  0.194  0.806
Ho  0.250  0.806  0.612
Hg  0.000  0.000  0.000
Ho  0.250  0.806  0.194
In  0.750  0.666  0.334



# 20
Compound: Ho5In2Hg
Source: Alexandria via LeMat-Bulk
Functional: PBE
Structure: relaxed

Calculated values
- ΔE_f: -0.304 eV per atom
- Calculated total energy: -0.1429 Ha/atom

abc: 6.906 6.906 6.662
angles: 121.25 121.24 89.96
Positions (direct):
In  0.222  0.722  0.444
Ho  0.723  0.723  0.445
Ho  0.222  0.722  0.944
Ho  0.722  0.222  0.944
Ho  0.722  0.722  0.944
Ho  0.222  0.222  0.944
Hg  0.221  0.221  0.443
In  0.722  0.222  0.444



# 21
Compound: HoIn2Hg3
Source: Alexandria via LeMat-Bulk
Functional: PBE
Structure: relaxed

Calculated values
- ΔE_f: -0.213 eV per atom
- Calculated total energy: -0.0749 Ha/atom

abc: 4.208 4.770 7.807
angles: 107.79 90.00 90.00
Positions (direct):
Hg  0.500  0.838  0.676
Ho  0.000  0.000  0.000
In  0.000  0.672  0.343
Hg  0.500  0.500  0.000
Hg  0.500  0.162  0.324
In  0.000  0.328  0.657